A relaxed structure of K3Mn5F12. Source: Alexandria, functional PBE+U.

Properties
DOS at the Fermi energy: 0.134 states/eV/atom
VASP energy: -5.72 eV per atom

Lattice parameters (Å, degrees): 12.115 12.115 12.115 109.47 109.47 109.47
Atoms (fractional coordinates):
K 0.125 0.250 0.375
K 0.125 0.375 0.750
K 0.250 0.375 0.125
K 0.250 0.875 0.625
K 0.375 0.125 0.250
K 0.375 0.750 0.125
K 0.625 0.250 0.875
K 0.625 0.875 0.750
K 0.750 0.125 0.375
K 0.750 0.625 0.875
K 0.875 0.625 0.250
K 0.875 0.750 0.625
Mn 0.000 0.000 0.000
Mn 0.000 0.000 0.500
Mn 0.000 0.500 0.000
Mn 0.000 0.500 0.500
Mn 0.125 0.750 0.875
Mn 0.125 0.875 0.250
Mn 0.250 0.125 0.875
Mn 0.250 0.625 0.375
Mn 0.375 0.250 0.625
Mn 0.375 0.625 0.750
Mn 0.500 0.000 0.000
Mn 0.500 0.000 0.500
Mn 0.500 0.500 0.000
Mn 0.500 0.500 0.500
Mn 0.625 0.375 0.250
Mn 0.625 0.750 0.375
Mn 0.750 0.375 0.625
Mn 0.750 0.875 0.125
Mn 0.875 0.125 0.750
Mn 0.875 0.250 0.125
F 0.015 0.192 0.114
F 0.015 0.323 0.901
F 0.078 0.692 0.677
F 0.078 0.886 0.401
F 0.099 0.614 0.422
F 0.099 0.985 0.677
F 0.114 0.015 0.192
F 0.114 0.599 0.922
F 0.177 0.192 0.578
F 0.177 0.485 0.599
F 0.192 0.114 0.015
F 0.192 0.578 0.177
F 0.308 0.323 0.922
F 0.308 0.485 0.386
F 0.323 0.901 0.015
F 0.323 0.922 0.308
F 0.386 0.308 0.485
F 0.386 0.578 0.901
F 0.401 0.078 0.886
F 0.401 0.823 0.515
F 0.422 0.099 0.614
F 0.422 0.823 0.808
F 0.485 0.386 0.308
F 0.485 0.599 0.177
F 0.515 0.401 0.823
F 0.515 0.614 0.692
F 0.578 0.177 0.192
F 0.578 0.901 0.386
F 0.599 0.177 0.485
F 0.599 0.922 0.114
F 0.614 0.422 0.099
F 0.614 0.692 0.515
F 0.677 0.078 0.692
F 0.677 0.099 0.985
F 0.692 0.515 0.614
F 0.692 0.677 0.078
F 0.808 0.422 0.823
F 0.808 0.886 0.985
F 0.823 0.515 0.401
F 0.823 0.808 0.422
F 0.886 0.401 0.078
F 0.886 0.985 0.808
F 0.901 0.015 0.323
F 0.901 0.386 0.578
F 0.922 0.114 0.599
F 0.922 0.308 0.323
F 0.985 0.677 0.099
F 0.985 0.808 0.886